Entry 1:
A relaxed SrTcNi3 crystal. Source: Alexandria via LeMat-Bulk, functional PBE.

Computed properties:
- Space group: Pm-3m
- Energy of formation from the pure elements: 204 kJ per mole of atoms
- Distance to the lowest polymorph of the same formula: 1535.6 meV/atom

Unit cell a=4.653 b=4.653 c=4.653 alpha=90.00 beta=90.00 gamma=90.00
Last column: magnetic moment on the atom in μB.
Positions (direct):
Sr: 0.000 0.000 0.000  -0.06
Tc: 0.500 0.500 0.500  3.19
Ni: 0.000 0.500 0.000  0.27
Ni: 0.000 0.000 0.500  0.27
Ni: 0.500 0.000 0.000  0.47

***

Entry 2:
A relaxed CdIn2SiRu crystal. Source: Alexandria via LeMat-Bulk, functional PBE.

Computed properties:
- Energy relative to the elements, uncorrected: 0.58 eV/atom
- Space group: P4/mmm

Unit cell a=5.197 b=4.487 c=5.197 alpha=90.00 beta=90.00 gamma=90.00
Positions (direct):
Ru: 0.000 0.500 0.000
Si: 0.000 0.000 0.000
Cd: 0.500 0.500 0.500
In: 0.000 0.000 0.500
In: 0.500 0.000 0.000